(1)
Crystalline Pm4Ir2O at its relaxed geometry, computed with PBE.

Calculated values
M_tot = 0.00 μB per formula unit
Polymorph energy (0 for the lowest one) = 36 meV/atom
Raw total energy = -0.5221 Ry/atom
Formation energy from raw total energies = -1.149 eV per atom

Cell: 8.093 8.093 8.093 Å, 146.07 146.07 48.74°
Positions (direct):
Pm1 0.000 0.500 0.500
Pm2 0.185 0.185 0.000
Pm3 0.500 0.000 0.500
Pm4 0.815 0.815 0.000
Ir1 0.371 0.371 0.000
Ir2 0.629 0.629 0.000
O1 0.000 0.000 0.000

=====

(2)
Crystalline Pm3Ir2O at its relaxed geometry, computed with PBE.

Calculated values
M_tot = 0.00 μB per formula unit
Raw total energy = -0.5482 Ry/atom
Formation energy from raw total energies = -1.303 eV per atom

Cell: 6.713 6.713 7.553 Å, 99.36 99.36 54.63°
Positions (direct):
Pm1 0.098 0.902 0.750
Pm2 0.238 0.450 0.344
Pm3 0.450 0.238 0.844
Pm4 0.550 0.762 0.156
Pm5 0.762 0.550 0.656
Pm6 0.902 0.098 0.250
Ir1 0.078 0.275 0.024
Ir2 0.275 0.078 0.524
Ir3 0.725 0.922 0.476
Ir4 0.922 0.725 0.976
O1 0.463 0.537 0.750
O2 0.537 0.463 0.250

=====

(3)
Crystalline Pm4Ir2O at its relaxed geometry, computed with PBE.

Calculated values
M_tot = 0.00 μB per formula unit
Polymorph energy (0 for the lowest one) = 41 meV/atom
Raw total energy = -0.5218 Ry/atom
Formation energy from raw total energies = -1.145 eV per atom

Cell: 8.987 8.987 12.427 Å, 120.25 120.25 26.44°
Positions (direct):
Pm1 0.050 0.050 0.260
Pm2 0.198 0.198 0.078
Pm3 0.250 0.250 0.636
Pm4 0.422 0.422 0.349
Pm5 0.578 0.578 0.651
Pm6 0.750 0.750 0.364
Pm7 0.802 0.802 0.922
Pm8 0.950 0.950 0.740
Ir1 0.170 0.170 0.819
Ir2 0.386 0.386 0.557
Ir3 0.614 0.614 0.443
Ir4 0.830 0.830 0.181
O1 0.171 0.171 0.239
O2 0.829 0.829 0.761

=====

(4)
Crystalline Pm6Ir3O at its relaxed geometry, computed with PBE.

Calculated values
M_tot = 0.00 μB per formula unit
Polymorph energy (0 for the lowest one) = 0 meV/atom
Raw total energy = -0.5197 Ry/atom
Formation energy from raw total energies = -1.067 eV per atom

Cell: 8.947 8.947 6.827 Å, 90.00 90.00 103.41°
Positions (direct):
Pm1 0.049 0.951 0.500
Pm2 0.112 0.569 0.450
Pm3 0.223 0.777 0.968
Pm4 0.308 0.358 0.955
Pm5 0.358 0.308 0.455
Pm6 0.431 0.888 0.450
Pm7 0.569 0.112 0.950
Pm8 0.642 0.692 0.955
Pm9 0.692 0.642 0.455
Pm10 0.777 0.223 0.468
Pm11 0.888 0.431 0.950
Pm12 0.951 0.049 0.000
Ir1 0.063 0.275 0.676
Ir2 0.275 0.063 0.176
Ir3 0.394 0.606 0.235
Ir4 0.606 0.394 0.735
Ir5 0.725 0.937 0.676
Ir6 0.937 0.725 0.176
O1 0.205 0.795 0.624
O2 0.795 0.205 0.124

=====

(5)
Crystalline Pm3IrO at its relaxed geometry, computed with PBE.

Calculated values
M_tot = 0.00 μB per formula unit
Polymorph energy (0 for the lowest one) = 218 meV/atom
Raw total energy = -0.5028 Ry/atom
Formation energy from raw total energies = -1.227 eV per atom

Cell: 4.794 4.794 4.794 Å, 90.00 90.00 90.00°
Positions (direct):
Pm1 0.000 0.000 0.500
Pm2 0.000 0.500 0.000
Pm3 0.500 0.000 0.000
Ir1 0.500 0.500 0.500
O1 0.000 0.000 0.000

=====

(6)
Crystalline Pm2IrO at its relaxed geometry, computed with PBE.

Calculated values
M_tot = 0.00 μB per formula unit
Polymorph energy (0 for the lowest one) = 107 meV/atom
Raw total energy = -0.5395 Ry/atom
Formation energy from raw total energies = -1.510 eV per atom

Cell: 7.005 7.005 7.005 Å, 31.26 31.26 31.26°
Positions (direct):
Pm1 0.241 0.241 0.241
Pm2 0.759 0.759 0.759
Ir1 0.000 0.000 0.000
O1 0.500 0.500 0.500

=====

(7)
Crystalline Pm2PrIrO8 at its relaxed geometry, computed with PBE.

Calculated values
M_tot = 1.87 μB per formula unit
Raw total energy = -0.5494 Ry/atom
Formation energy from raw total energies = -2.241 eV per atom

Cell: 5.185 7.033 5.189 Å, 90.00 90.24 90.00°
Positions (direct):
Pm1 0.000 0.249 0.000
Pm2 0.000 0.751 0.000
Pr1 0.500 0.500 0.500
Ir1 0.500 0.000 0.500
O1 0.188 0.500 0.814
O2 0.242 0.000 0.760
O3 0.318 0.202 0.319
O4 0.318 0.798 0.319
O5 0.682 0.202 0.681
O6 0.682 0.798 0.681
O7 0.758 0.000 0.240
O8 0.812 0.500 0.186

=====

(8)
Crystalline PmPrIrO6 at its relaxed geometry, computed with PBE.

Calculated values
M_tot = 2.97 μB per formula unit
Raw total energy = -0.5482 Ry/atom
Formation energy from raw total energies = -2.110 eV per atom

Cell: 5.658 5.658 9.887 Å, 90.00 90.00 120.00°
Positions (direct):
Pm1 0.333 0.667 0.250
Pm2 0.667 0.333 0.750
Pr1 0.000 0.000 0.000
Pr2 0.000 0.000 0.500
Ir1 0.333 0.667 0.750
Ir2 0.667 0.333 0.250
O1 0.051 0.378 0.637
O2 0.051 0.672 0.863
O3 0.328 0.378 0.863
O4 0.328 0.949 0.637
O5 0.378 0.051 0.137
O6 0.378 0.328 0.363
O7 0.622 0.672 0.637
O8 0.622 0.949 0.863
O9 0.672 0.051 0.363
O10 0.672 0.622 0.137
O11 0.949 0.328 0.137
O12 0.949 0.622 0.363

=====

(9)
Crystalline PmIrPtO6 at its relaxed geometry, computed with PBE.

Calculated values
M_tot = 1.43 μB per formula unit
Raw total energy = -0.4907 Ry/atom
Formation energy from raw total energies = -1.187 eV per atom

Cell: 5.387 5.387 8.916 Å, 90.00 90.00 120.00°
Positions (direct):
Pm1 0.333 0.667 0.250
Pm2 0.667 0.333 0.750
Ir1 0.000 0.000 0.000
Ir2 0.000 0.000 0.500
Pt1 0.333 0.667 0.750
Pt2 0.667 0.333 0.250
O1 0.028 0.327 0.618
O2 0.028 0.702 0.882
O3 0.298 0.327 0.882
O4 0.298 0.972 0.618
O5 0.327 0.028 0.118
O6 0.327 0.298 0.382
O7 0.673 0.702 0.618
O8 0.673 0.972 0.882
O9 0.702 0.028 0.382
O10 0.702 0.673 0.118
O11 0.972 0.298 0.118
O12 0.972 0.673 0.382

=====

(10)
Crystalline PmPuIrO6 at its relaxed geometry, computed with PBE.

Calculated values
M_tot = 1.98 μB per formula unit
Raw total energy = -0.6332 Ry/atom
Formation energy from raw total energies = -2.205 eV per atom

Cell: 5.442 5.442 9.552 Å, 90.00 90.00 120.00°
Positions (direct):
Pm1 0.333 0.667 0.250
Pm2 0.667 0.333 0.750
Pu1 0.000 0.000 0.000
Pu2 0.000 0.000 0.500
Ir1 0.333 0.667 0.750
Ir2 0.667 0.333 0.250
O1 0.047 0.349 0.626
O2 0.047 0.698 0.874
O3 0.302 0.349 0.874
O4 0.302 0.953 0.626
O5 0.349 0.047 0.126
O6 0.349 0.302 0.374
O7 0.651 0.698 0.626
O8 0.651 0.953 0.874
O9 0.698 0.047 0.374
O10 0.698 0.651 0.126
O11 0.953 0.302 0.126
O12 0.953 0.651 0.374

=====

(11)
Crystalline RbPmIrO6 at its relaxed geometry, computed with PBE.

Calculated values
M_tot = 0.74 μB per formula unit
Raw total energy = -0.4665 Ry/atom
Formation energy from raw total energies = -1.422 eV per atom

Cell: 5.767 5.767 6.105 Å, 90.00 90.00 120.00°
Positions (direct):
Rb1 0.000 0.000 0.000
Pm1 0.333 0.667 0.500
Ir1 0.667 0.333 0.500
O1 0.408 0.054 0.679
O2 0.408 0.354 0.321
O3 0.646 0.054 0.321
O4 0.646 0.592 0.679
O5 0.946 0.354 0.679
O6 0.946 0.592 0.321

=====

(12)
Crystalline RbPm2IrO8 at its relaxed geometry, computed with PBE.

Calculated values
M_tot = 1.00 μB per formula unit
Raw total energy = -0.4918 Ry/atom
Formation energy from raw total energies = -1.774 eV per atom

Cell: 4.201 5.401 7.394 Å, 90.02 105.66 90.29°
Positions (direct):
Rb1 0.000 0.000 0.000
Pm1 0.373 0.490 0.709
Pm2 0.627 0.510 0.291
Ir1 0.000 0.000 0.500
O1 0.175 0.501 0.998
O2 0.189 0.702 0.409
O3 0.192 0.238 0.371
O4 0.355 0.033 0.722
O5 0.645 0.967 0.278
O6 0.808 0.762 0.629
O7 0.811 0.298 0.591
O8 0.825 0.499 0.002